This record from Alexandria describes a geometry-optimized PuTl3Fe2O6 structure. The functional is GGA+U.

Results
**Crystal system**: monoclinic
**E**: -6.63 eV/atom

Cell and atoms, written as POSCAR:
```
PuTl3Fe2O6
1.0
5.7906 -0.1021 0.0271
-2.9824 4.9646 0.0271
-0.9030 -1.5635 6.6075
O Pu Tl Fe
6 1 3 2
direct
0.0696 0.3888 0.1616 O
0.9304 0.6112 0.8384 O
0.2539 0.2539 0.8273 O
0.3888 0.0696 0.1616 O
0.7461 0.7461 0.1727 O
0.6112 0.9304 0.8384 O
0.0000 0.0000 0.0000 Pu
0.1702 0.8298 0.5000 Tl
0.8298 0.1702 0.5000 Tl
0.5000 0.5000 0.5000 Tl
0.6717 0.3283 0.0000 Fe
0.3283 0.6717 0.0000 Fe
```